# 1
SrZrUS6 | PBE | relaxed

magnetic moment: 0.00 μB per formula unit
calculated density: 4.10 g cm⁻³
energy: -6.62 eV/atom
SG: P-31c (163)

Unit cell a=6.657 b=6.657 c=12.857 alpha=90.00 beta=90.00 gamma=120.00
Positions (direct):
Sr (0.000, 0.000, 0.000)
Sr (0.000, 0.000, 0.500)
Zr (0.333, 0.667, 0.250)
Zr (0.667, 0.333, 0.750)
U (0.333, 0.667, 0.750)
U (0.667, 0.333, 0.250)
S (0.002, 0.375, 0.635)
S (0.002, 0.627, 0.865)
S (0.373, 0.375, 0.865)
S (0.373, 0.998, 0.635)
S (0.375, 0.002, 0.135)
S (0.375, 0.373, 0.365)
S (0.625, 0.627, 0.635)
S (0.625, 0.998, 0.865)
S (0.627, 0.002, 0.365)
S (0.627, 0.625, 0.135)
S (0.998, 0.373, 0.135)
S (0.998, 0.625, 0.365)

---

# 2
SrVS3 | PBE | relaxed

magnetic moment: 0.43 μB per formula unit
calculated density: 3.80 g cm⁻³
Fermi-level density of states: 3.0 states/eV per cell
energy above the most stable polymorph in this dataset: 0.0 meV per atom
energy: -5.80 eV/atom
SG: Pm-3m (221)

Unit cell a=4.682 b=4.682 c=4.682 alpha=90.00 beta=90.00 gamma=90.00
Positions (direct):
Sr (0.000, 0.000, 0.000)
V (0.500, 0.500, 0.500)
S (0.000, 0.500, 0.500)
S (0.500, 0.000, 0.500)
S (0.500, 0.500, 0.000)